No. 1
Compound: K2Cd9Au6
Source: the Alexandria database
Functional: PBE
Structure: relaxed

Its total energy is -32.6 eV per formula unit. The calculation puts the formation energy at -0.1460 eV per atom. The calculation puts the spin magnetization at 0.00 μB/atom.

Cell: 6.1766 6.1766 13.4973 Å, 90.00 90.00 120.00°
Space group P6/mmm (No. 191)
One atom of each set of equivalent atoms:
K 0.0000 0.0000 0.1723 [2 per cell]
Cd 0.0000 0.5000 0.0000 [3 per cell]
Cd 0.0000 0.5000 0.3369 [6 per cell]
Au 0.3333 0.6667 0.1687 [4 per cell]
Au 0.3333 0.6667 0.5000 [2 per cell]


No. 2
Compound: K3Cd6Au2
Source: the Alexandria database
Functional: PBE
Structure: relaxed

Its total energy is -16.6 eV per formula unit. The calculation puts the formation energy at -0.1132 eV per atom. The calculation puts the spin magnetization at 0.00 μB/atom.

Cell: 4.489 4.489 34.165 Å, 90.00 90.00 90.00°
Space group I4/mmm (No. 139)
One atom of each set of equivalent atoms:
K 0.000 0.000 0.000 [2 per cell]
K 0.000 0.000 0.173 [4 per cell]
Cd 0.000 0.000 0.273 [4 per cell]
Cd 0.000 0.500 0.086 [8 per cell]
Au 0.000 0.000 0.358 [4 per cell]


No. 3
Compound: KCd4Au3
Source: the Alexandria database
Functional: PBE
Structure: relaxed

Its total energy is -16.3 eV per formula unit. The calculation puts the formation energy at -0.2174 eV per atom. The calculation puts the spin magnetization at 0.00 μB/atom.

Cell: 4.703 4.703 9.235 Å, 90.00 90.00 90.00°
Space group P4/mmm (No. 123)
One atom of each set of equivalent atoms:
K 0.000 0.000 0.000 [1 per cell]
Cd 0.000 0.500 0.325 [4 per cell]
Au 0.000 0.000 0.500 [1 per cell]
Au 0.500 0.500 0.148 [2 per cell]


- Which value of spin magnetization does entry 1 give?
  0.00 μB/atom


- spin magnetization of number 1 (K2Cd9Au6)?
  0.00 μB/atom